# GGA-PBE BeTe2Ru, optimized geometry
data_BeTe2Ru
_cell_length_a 3.758
_cell_length_b 3.912
_cell_length_c 5.376
_cell_angle_alpha 90.00
_cell_angle_beta 90.16
_cell_angle_gamma 90.00
_space_group_name_H-M_alt 'P 1'
_space_group_IT_number 1
loop_
_space_group_symop_operation_xyz
'x,y,z'
loop_
_atom_site_label
_atom_site_type_symbol
_atom_site_fract_x
_atom_site_fract_y
_atom_site_fract_z
Be1 Be 0.000 0.000 0.000
Te1 Te 0.000 0.000 0.500
Te2 Te 0.500 0.500 0.000
Ru1 Ru 0.500 0.500 0.500
# total energy: -18.16 eV for the cell shown
# formation energy (no corrections): 1.123 eV per formula unit